[1]
{"formula": "CoBi2H", "functional": "PBE", "state": "relaxed", "polymorph_energy_mev_per_atom": 0, "volume_a3_per_atom": 17.60, "energy_ev_per_atom": -4.0363, "cell": [[0.000, 3.277, 3.277], [3.277, 0.000, 3.277], [3.277, 3.277, 0.000]], "species": ["Co", "Bi", "Bi", "H"], "fractional_positions": [[0.000, 0.000, 0.000], [0.250, 0.250, 0.250], [0.750, 0.750, 0.750], [0.500, 0.500, 0.500]]}

---

[2]
{"formula": "Co2BiH", "functional": "PBE", "state": "relaxed", "polymorph_energy_mev_per_atom": 536, "volume_a3_per_atom": 13.11, "energy_ev_per_atom": -4.5303, "cell": [[0.000, 2.971, 2.971], [2.971, 0.000, 2.971], [2.971, 2.971, 0.000]], "species": ["Co", "Co", "Bi", "H"], "fractional_positions": [[0.250, 0.250, 0.250], [0.750, 0.750, 0.750], [0.000, 0.000, 0.000], [0.500, 0.500, 0.500]]}

---

[3]
{"formula": "Co2BiH2", "functional": "PBE", "state": "relaxed", "volume_a3_per_atom": 11.22, "energy_ev_per_atom": -4.7244, "cell": [[-1.628, 1.628, 5.293], [1.628, -1.628, 5.293], [1.628, 1.628, -5.293]], "species": ["Co", "Co", "Bi", "H", "H"], "fractional_positions": [[0.194, 0.194, 0.000], [0.806, 0.806, 0.000], [0.500, 0.500, 0.000], [0.250, 0.750, 0.500], [0.750, 0.250, 0.500]]}

---

[4]
{"formula": "Co2BiH", "functional": "PBE", "state": "relaxed", "polymorph_energy_mev_per_atom": 0, "volume_a3_per_atom": 13.00, "energy_ev_per_atom": -5.0662, "cell": [[-2.653, 2.653, 3.696], [2.653, -2.653, 3.696], [2.653, 2.653, -3.696]], "species": ["Co", "Co", "Co", "Co", "Bi", "Bi", "H", "H"], "fractional_positions": [[0.375, 0.068, 0.193], [0.818, 0.625, 0.693], [0.875, 0.182, 0.807], [0.932, 0.125, 0.307], [0.250, 0.750, 0.500], [0.500, 0.500, 0.000], [0.000, 0.000, 0.000], [0.750, 0.250, 0.500]]}

---

[5]
{"formula": "CoBiH2", "functional": "PBE", "state": "relaxed", "polymorph_energy_mev_per_atom": 649, "volume_a3_per_atom": 11.46, "energy_ev_per_atom": -3.4805, "cell": [[0.000, 2.841, 2.841], [2.841, 0.000, 2.841], [2.841, 2.841, 0.000]], "species": ["Co", "Bi", "H", "H"], "fractional_positions": [[0.000, 0.000, 0.000], [0.500, 0.500, 0.500], [0.250, 0.250, 0.250], [0.750, 0.750, 0.750]]}

---

[6]
{"formula": "CoBi2H", "functional": "PBE", "state": "relaxed", "polymorph_energy_mev_per_atom": 85, "volume_a3_per_atom": 21.97, "energy_ev_per_atom": -3.9511, "cell": [[-2.634, 2.634, 6.335], [2.634, -2.634, 6.335], [2.634, 2.634, -6.335]], "species": ["Co", "Co", "Bi", "Bi", "Bi", "Bi", "H", "H"], "fractional_positions": [[0.000, 0.000, 0.000], [0.750, 0.250, 0.500], [0.142, 0.625, 0.017], [0.375, 0.392, 0.517], [0.608, 0.125, 0.983], [0.875, 0.858, 0.483], [0.250, 0.750, 0.500], [0.500, 0.500, 0.000]]}